--- w ---
TbGdNi4 | PBE | optimized geometry

Geometry as POSCAR:
```
TbGdNi4
1.0
2.674 -4.633 0.000
2.674 4.633 0.000
0.000 0.000 8.091
Gd Ni Tb
2 8 2
Cartesian
2.674 -1.545 4.045 Gd
2.674 1.545 4.045 Gd
2.674 -1.544 0.000 Ni
2.674 1.544 0.000 Ni
1.337 -2.317 1.810 Ni
1.337 2.317 1.810 Ni
2.674 0.000 1.810 Ni
2.674 0.000 6.281 Ni
1.337 -2.317 6.281 Ni
1.337 2.317 6.281 Ni
0.000 0.000 0.000 Tb
0.000 0.000 4.045 Tb
```

Results
spin magnetization: 0.4 μB per formula unit
SG: P6/mmm, No. 191

--- x ---
TbGdNi4 | PBE | optimized geometry

Geometry as POSCAR:
```
TbGdNi4
1.0
-0.659 1.461 -5.130
2.278 -4.723 1.177
-7.260 -3.519 -0.070
Gd Ni Tb
2 8 2
Cartesian
0.000 0.000 0.000 Gd
-3.630 -1.760 -0.035 Gd
0.320 -0.600 -3.027 Ni
1.299 -2.662 -0.925 Ni
-1.967 -0.063 -2.581 Ni
-0.499 -3.155 0.573 Ni
-0.828 -2.425 -1.992 Ni
-5.952 -1.995 -2.619 Ni
-4.484 -5.087 0.535 Ni
-4.813 -4.356 -2.030 Ni
-3.310 -2.360 -3.062 Tb
-2.331 -4.421 -0.960 Tb
```

Results
spin magnetization: 0.0 μB per formula unit
SG: P6/mmm, No. 191

The structure with the most favorable energy is x; the runner-up is 0.020 eV/atom above it.

--- w ---
GdTlNiTe3 | PBE | optimized geometry

Geometry as POSCAR:
```
GdTlNiTe3
1.0
12.596 0.000 0.000
0.000 4.264 0.000
0.000 0.000 12.764
Gd Ni Te Tl
4 4 12 4
Cartesian
5.797 2.132 2.452 Gd
12.095 2.132 3.929 Gd
0.501 0.000 8.834 Gd
6.799 0.000 10.311 Gd
9.651 0.000 2.328 Ni
3.353 0.000 4.053 Ni
9.243 2.132 8.710 Ni
2.945 2.132 10.435 Ni
7.520 0.000 0.828 Te
12.132 0.000 1.747 Te
2.677 2.132 2.836 Te
8.975 2.132 3.546 Te
5.833 0.000 4.635 Te
1.222 0.000 5.554 Te
11.374 2.132 7.210 Te
6.763 2.132 8.128 Te
3.621 0.000 9.218 Te
9.919 0.000 9.928 Te
0.465 2.132 11.017 Te
5.076 2.132 11.935 Te
10.125 2.132 0.009 Tl
3.827 2.132 6.373 Tl
8.769 0.000 6.391 Tl
2.471 0.000 12.754 Tl
```

Results
spin magnetization: 0.0 μB per formula unit
SG: Pnma, No. 62

--- x ---
GdTlNiTe3 | PBE | optimized geometry

Geometry as POSCAR:
```
GdTlNiTe3
1.0
8.006 -2.073 0.000
8.006 2.073 0.000
0.000 0.000 11.096
Gd Ni Te Tl
2 2 6 2
Cartesian
0.000 0.000 0.000 Gd
0.000 0.000 5.548 Gd
7.666 0.000 2.774 Ni
8.346 0.000 8.322 Ni
5.916 0.000 0.905 Te
1.212 0.000 2.774 Te
5.916 0.000 4.643 Te
10.097 0.000 6.453 Te
14.800 0.000 8.322 Te
10.097 0.000 10.191 Te
11.979 0.000 2.774 Tl
4.034 0.000 8.322 Tl
```

Results
spin magnetization: 0.0 μB per formula unit
SG: Cmcm, No. 63

The structure with the most favorable energy is x; the runner-up is 0.024 eV/atom above it.

--- w ---
GdNp | PBE | optimized geometry

Geometry as POSCAR:
```
GdNp
1.0
-3.479 -2.516 0.016
-3.181 0.717 -2.794
-0.679 -2.745 -3.231
Gd Np
1 1
Cartesian
0.000 0.000 0.000 Gd
-1.835 -1.136 -1.502 Np
```

Results
spin magnetization: 3.8 μB per formula unit
SG: F-43m, No. 216

--- x ---
GdNp | PBE | optimized geometry

Geometry as POSCAR:
```
GdNp
1.0
3.341 0.000 0.000
-1.671 2.893 0.000
0.000 0.000 5.742
Gd Np
1 1
Cartesian
1.671 0.964 4.307 Gd
0.000 1.929 1.436 Np
```

Results
spin magnetization: 4.3 μB per formula unit
SG: P-6m2, No. 187

The structure with the most favorable energy is x; the runner-up is 1.807 eV/atom above it.

--- w ---
GdPOsO | PBE | optimized geometry

Geometry as POSCAR:
```
GdPOsO
1.0
3.266 0.000 0.000
0.000 7.697 0.000
0.000 0.000 5.203
Gd O Os P
2 2 2 2
Cartesian
0.000 6.161 2.507 Gd
0.000 1.536 5.109 Gd
1.633 7.450 1.600 O
1.633 0.247 4.201 O
1.633 1.666 2.522 Os
1.633 6.031 5.123 Os
0.000 3.234 2.497 P
0.000 4.463 5.099 P
```

Results
spin magnetization: 0.0 μB per formula unit
SG: Pmc2_1, No. 26

--- x ---
GdPOsO | PBE | optimized geometry

Geometry as POSCAR:
```
GdPOsO
1.0
2.833 -2.833 0.000
2.833 2.833 0.000
0.000 0.000 7.975
Gd O Os P
2 2 2 2
Cartesian
0.000 0.000 1.094 Gd
2.833 0.000 6.881 Gd
1.417 -1.417 0.000 O
1.417 1.417 0.000 O
1.417 -1.417 3.988 Os
1.417 1.417 3.988 Os
2.833 0.000 2.761 P
0.000 0.000 5.214 P
```

Results
spin magnetization: 0.0 μB per formula unit
SG: P4/nmm, No. 129

--- y ---
GdPOsO | PBE | optimized geometry

Geometry as POSCAR:
```
GdPOsO
1.0
-3.262 2.467 1.322
-2.428 -1.486 -3.220
-2.137 -4.903 3.874
Gd O Os P
2 2 2 2
Cartesian
-1.069 -2.451 1.937 Gd
-3.914 -1.961 0.988 Gd
0.000 0.000 0.000 O
-2.845 0.490 -0.949 O
-1.497 -1.391 -1.098 Os
-3.486 -3.022 4.023 Os
-2.098 0.163 1.506 P
-2.885 -4.576 1.418 P
```

Results
spin magnetization: 0.0 μB per formula unit
SG: P4/nmm, No. 129

--- z ---
GdPOsO | PBE | optimized geometry

Geometry as POSCAR:
```
GdPOsO
1.0
4.381 0.000 0.000
0.000 4.283 0.000
0.000 0.000 6.534
Gd O Os P
2 2 2 2
Cartesian
0.000 0.873 0.605 Gd
0.000 3.410 3.872 Gd
0.000 1.295 2.856 O
0.000 2.988 6.123 O
2.191 1.368 2.869 Os
2.191 2.915 6.135 Os
2.191 3.501 1.863 P
2.191 0.782 5.130 P
```

Results
spin magnetization: 0.0 μB per formula unit
SG: Pmc2_1, No. 26

The structure with the most favorable energy is x; the runner-up is 0.604 eV/atom above it.

--- w ---
PrGdPO | PBE | optimized geometry

Geometry as POSCAR:
```
PrGdPO
1.0
4.419 0.000 0.000
0.000 4.419 0.000
0.000 0.000 8.964
Gd O P Pr
2 2 2 2
Cartesian
0.000 0.000 4.482 Gd
2.210 2.210 4.482 Gd
0.000 0.000 0.000 O
2.210 2.210 0.000 O
2.210 0.000 2.790 P
0.000 2.210 6.174 P
0.000 2.210 1.001 Pr
2.210 0.000 7.963 Pr
```

Results
spin magnetization: 0.0 μB per formula unit
SG: P4/nmm, No. 129

--- x ---
PrGdPO | PBE | optimized geometry

Geometry as POSCAR:
```
PrGdPO
1.0
4.266 0.000 0.000
0.000 7.920 0.000
0.000 0.000 5.519
Gd O P Pr
2 2 2 2
Cartesian
0.000 1.599 2.421 Gd
0.000 6.320 5.180 Gd
2.133 2.586 2.409 O
2.133 5.334 5.169 O
0.000 6.762 2.422 P
0.000 1.158 5.182 P
2.133 5.023 2.427 Pr
2.133 2.897 5.187 Pr
```

Results
spin magnetization: 0.1 μB per formula unit
SG: Pmc2_1, No. 26

--- y ---
PrGdPO | PBE | optimized geometry

Geometry as POSCAR:
```
PrGdPO
1.0
-2.282 3.569 -0.954
-6.410 -3.643 1.707
0.477 1.826 5.687
Gd O P Pr
2 2 2 2
Cartesian
-5.640 -3.198 1.527 Gd
-0.528 0.484 3.073 Gd
-5.187 -2.364 3.564 O
-0.626 1.005 5.256 O
-3.014 1.397 2.552 P
-5.025 1.032 5.995 P
-5.401 0.046 3.209 Pr
-2.634 2.396 5.379 Pr
```

Results
spin magnetization: 0.0 μB per formula unit
SG: Pmc2_1, No. 26

--- z ---
PrGdPO | PBE | optimized geometry

Geometry as POSCAR:
```
PrGdPO
1.0
4.351 0.000 0.000
0.000 4.351 0.000
0.000 0.000 9.000
Gd O P Pr
2 2 2 2
Cartesian
0.000 2.175 0.887 Gd
2.175 0.000 8.113 Gd
0.000 0.000 0.000 O
2.175 2.175 0.000 O
2.175 0.000 2.602 P
0.000 2.175 6.398 P
0.000 0.000 4.500 Pr
2.175 2.175 4.500 Pr
```

Results
spin magnetization: 0.1 μB per formula unit
SG: P4/nmm, No. 129

The structure with the most favorable energy is y; the runner-up is 0.025 eV/atom above it.

--- w ---
GdPPtO | PBE | optimized geometry

Geometry as POSCAR:
```
GdPPtO
1.0
2.916 -2.916 0.000
2.916 2.916 0.000
0.000 0.000 7.749
Gd O P Pt
2 2 2 2
Cartesian
0.000 0.000 1.037 Gd
2.916 0.000 6.712 Gd
1.458 -1.458 0.000 O
1.458 1.458 0.000 O
2.916 0.000 2.624 P
0.000 0.000 5.125 P
1.458 -1.458 3.875 Pt
1.458 1.458 3.875 Pt
```

Results
spin magnetization: 0.0 μB per formula unit
SG: P4/nmm, No. 129

--- x ---
GdPPtO | PBE | optimized geometry

Geometry as POSCAR:
```
GdPPtO
1.0
-1.107 5.151 -0.176
-3.669 -0.769 0.572
0.979 0.446 6.879
Gd O P Pt
2 2 2 2
Cartesian
-2.852 2.122 1.102 Gd
-1.204 2.588 4.361 Gd
-3.654 2.021 3.172 O
0.140 2.936 6.096 O
-0.457 -0.029 2.037 P
-2.176 -0.269 5.820 P
-2.047 -0.318 3.561 Pt
-0.230 0.183 6.794 Pt
```

Results
spin magnetization: 0.0 μB per formula unit
SG: Pmc2_1, No. 26

The structure with the most favorable energy is w; the runner-up is 0.394 eV/atom above it.